1.
An optimized crystal structure of KBeCoMo, computed with GGA-PBE.

E_tot: -4.32 eV/atom
Calculated volume: 236.0 Å³/cell
E above lowest polymorph: 0.000 eV per atom

abc: 6.180 6.180 6.180
angles: 90.00 90.00 90.00
Element x y z (fractional)
K 0.000 0.000 0.000
K 0.000 0.500 0.500
K 0.500 0.000 0.500
K 0.500 0.500 0.000
Be 0.250 0.250 0.750
Be 0.250 0.750 0.250
Be 0.750 0.250 0.250
Be 0.750 0.750 0.750
Co 0.000 0.000 0.500
Co 0.000 0.500 0.000
Co 0.500 0.000 0.000
Co 0.500 0.500 0.500
Mo 0.250 0.250 0.250
Mo 0.250 0.750 0.750
Mo 0.750 0.250 0.750
Mo 0.750 0.750 0.250

2.
An optimized crystal structure of KBeCoS3, computed with GGA-PBE.

E_tot: -4.80 eV/atom
Calculated volume: 218.9 Å³/cell

abc: 7.201 7.201 8.970
angles: 90.00 90.00 151.92
Element x y z (fractional)
K 0.247 0.753 0.750
K 0.753 0.247 0.250
Be 0.029 0.971 0.250
Be 0.971 0.029 0.750
Co 0.500 0.500 0.000
Co 0.500 0.500 0.500
S 0.104 0.896 0.051
S 0.104 0.896 0.449
S 0.442 0.558 0.250
S 0.558 0.442 0.750
S 0.896 0.104 0.551
S 0.896 0.104 0.949

3.
An optimized crystal structure of KBeCoSe3, computed with GGA-PBE.

E_tot: -4.34 eV/atom
Calculated volume: 256.5 Å³/cell

abc: 7.552 7.552 9.523
angles: 90.00 90.00 151.82
Element x y z (fractional)
K 0.249 0.751 0.750
K 0.751 0.249 0.250
Be 0.030 0.970 0.250
Be 0.970 0.030 0.750
Co 0.500 0.500 0.000
Co 0.500 0.500 0.500
Se 0.105 0.895 0.049
Se 0.105 0.895 0.451
Se 0.441 0.559 0.250
Se 0.559 0.441 0.750
Se 0.895 0.105 0.549
Se 0.895 0.105 0.951

4.
An optimized crystal structure of KBeCoTe3, computed with GGA-PBE.

E_tot: -3.89 eV/atom
Calculated volume: 312.9 Å³/cell

abc: 7.971 7.971 10.374
angles: 90.00 90.00 151.65
Element x y z (fractional)
K 0.247 0.753 0.750
K 0.753 0.247 0.250
Be 0.464 0.536 0.250
Be 0.536 0.464 0.750
Co 0.000 0.000 0.000
Co 0.000 0.000 0.500
Te 0.060 0.940 0.250
Te 0.392 0.608 0.042
Te 0.392 0.608 0.458
Te 0.608 0.392 0.542
Te 0.608 0.392 0.958
Te 0.940 0.060 0.750

- Which value of E_tot does entry 2 give?
  -4.80 eV/atom